1.
DFT (PBE) results for crystalline Cs3Rh2Br8 at its relaxed geometry.

Calculated values
Its energy is -42.30 eV/cell. The raw formation energy comes out at -0.90 eV per atom. As for the space-group type: C2/m. The magnetic moment is 0.0811 μB per atom. Its density of states at the Fermi level is 1.4 states/eV/f.u.

a b c (Å): 7.8968 7.8969 10.5040
angles (deg): 64.24 64.25 65.50
Site moments in Bohr magnetons follow the coordinates.
Sites, in units of the cell vectors:
1 Cs 0.0000 0.0000 0.0000  0.00
2 Br 0.2327 0.8144 0.6638  0.00
3 Rh 0.4977 0.4977 0.3546  0.41
4 Br 0.6743 0.6743 0.3925  0.04
5 Cs 0.2223 0.2223 0.3176  0.00
6 Cs 0.7777 0.7777 0.6824  0.00
7 Br 0.6149 0.6149 0.0779  0.04
8 Rh 0.5023 0.5023 0.6454  0.41
9 Br 0.3851 0.3851 0.9221  0.04
10 Br 0.7673 0.1856 0.3362  0.00
11 Br 0.1856 0.7673 0.3362  0.00
12 Br 0.3257 0.3257 0.6075  0.04
13 Br 0.8144 0.2327 0.6638  0.00

=====

2.
DFT (PBE) results for crystalline CsRhSeBr2 at its relaxed geometry.

Calculated values
Its energy is -18.26 eV/cell. The raw formation energy comes out at -0.65 eV per atom. As for the space-group type: P4/mmm. The magnetic moment is 0.0000 μB per atom. Its density of states at the Fermi level is 2.6 states/eV/f.u. The calculation puts the distance to the lowest polymorph of the same formula at 0.000 eV/atom.

a b c (Å): 5.5528 5.5528 4.7324
angles (deg): 90.00 90.00 90.00
Sites, in units of the cell vectors:
1 Se 0.0000 0.0000 0.5000
2 Br 0.5000 0.0000 0.0000
3 Cs 0.5000 0.5000 0.5000
4 Br 0.0000 0.5000 0.0000
5 Rh 0.0000 0.0000 0.0000

=====

3.
DFT (PBE) results for crystalline CsRhSeBr2 at its relaxed geometry.

Calculated values
Its energy is -10.16 eV/cell. The raw formation energy comes out at 0.97 eV per atom. As for the space-group type: P4/mmm. The magnetic moment is 0.6038 μB per atom. Its density of states at the Fermi level is 12.6 states/eV/f.u. The calculation puts the distance to the lowest polymorph of the same formula at 1.620 eV/atom.

a b c (Å): 6.5522 6.5522 5.8665
angles (deg): 90.00 90.00 90.00
Site moments in Bohr magnetons follow the coordinates.
Sites, in units of the cell vectors:
1 Br 0.0000 0.5000 0.0000  0.17
2 Br 0.5000 0.0000 0.0000  0.17
3 Se 0.0000 0.0000 0.5000  0.40
4 Rh 0.5000 0.5000 0.5000  1.69
5 Cs 0.0000 0.0000 0.0000  0.01

=====

4.
DFT (PBE) results for crystalline CsSn2RhBr at its relaxed geometry.

Calculated values
Its energy is -13.63 eV/cell. The raw formation energy comes out at 0.85 eV per atom. As for the space-group type: P4/mmm. The magnetic moment is 0.1388 μB per atom. Its density of states at the Fermi level is 7.0 states/eV/f.u.

a b c (Å): 5.6317 6.3069 5.6317
angles (deg): 90.00 90.00 90.00
Site moments in Bohr magnetons follow the coordinates.
Sites, in units of the cell vectors:
1 Cs 0.0000 0.5000 0.0000  0.01
2 Sn 0.5000 0.0000 0.0000  0.05
3 Br 0.0000 0.0000 0.0000  0.01
4 Rh 0.5000 0.5000 0.5000  -0.94
5 Sn 0.0000 0.0000 0.5000  0.07